Dy4GeSb3 PBE optimized geometry; total magnetization = 0.00 μB/f.u.; energy relative to the elements, uncorrected = -0.987 eV/atom; E = -5.41 eV/atom
1.0
6.1275 0.0000 0.0000
0.0000 6.1275 0.0000
0.0000 0.0000 6.1275
Dy Ge Sb
4 1 3
direct
0.0000 0.0000 0.0000
0.0000 0.5000 0.5000
0.5000 0.0000 0.5000
0.5000 0.5000 0.0000
0.5000 0.5000 0.5000
0.0000 0.0000 0.5000
0.0000 0.5000 0.0000
0.5000 0.0000 0.0000